Here is a relaxed structure of SbAs2Br from Alexandria via LeMat-Bulk. Energies are from PBE-GGA.

Summary:
energy relative to the elements, uncorrected: 0.483 eV per atom
mass density: 5.93 g cm⁻³
calculated total energy: -3.2907 eV/atom
total moment: 0.000 μB per cell

Structure (CIF):
```
data_SbAs2Br
_chemical_formula_sum 'Sb2 As4 Br2'
_symmetry_space_group_name_H-M 'I 4/m m m'
_symmetry_Int_Tables_number 139
_symmetry_space_group_name_Hall '-I 4 2'
_cell_length_a 4.040
_cell_length_b 4.040
_cell_length_c 12.053
_cell_angle_alpha 90.00
_cell_angle_beta 90.00
_cell_angle_gamma 90.00
loop_
_atom_site_label
_atom_site_fract_x
_atom_site_fract_y
_atom_site_fract_z
Sb1 0.000 0.000 0.000
As1 0.000 0.500 0.250
Br1 0.000 0.000 0.500
```

=====

Here is a relaxed structure of Ti2MnPd6 from Alexandria via LeMat-Bulk. Energies are from PBE-GGA.

Summary:
mass density: 9.21 g cm⁻³
calculated total energy: -6.5783 eV/atom
calculated formation energy: -343 meV per atom
total moment: 5.722 μB per cell

Structure (CIF):
```
data_Ti2MnPd6
_chemical_formula_sum 'Ti4 Mn2 Pd12'
_symmetry_space_group_name_H-M 'I m m m'
_symmetry_Int_Tables_number 71
_symmetry_space_group_name_Hall '-I 2 2'
_cell_length_a 4.572
_cell_length_b 7.377
_cell_length_c 8.433
_cell_angle_alpha 90.00
_cell_angle_beta 90.00
_cell_angle_gamma 90.00
loop_
_atom_site_label
_atom_site_fract_x
_atom_site_fract_y
_atom_site_fract_z
Ti1 0.000 0.000 0.174
Mn1 0.000 0.000 0.500
Pd1 0.000 0.307 0.000
Pd2 0.000 0.311 0.335
```